The following is a PBE-GGA calculation of a relaxed structure of Zr2ReTe, from Alexandria.

```
data_Zr2ReTe
_chemical_formula_sum 'Zr4 Re2 Te2'
_cell_length_a 6.028
_cell_length_b 7.731
_cell_length_c 3.448
_cell_angle_alpha 90.00
_cell_angle_beta 90.00
_cell_angle_gamma 90.00
_space_group_name_H-M_alt 'C m m m'
_space_group_IT_number 65
_space_group_name_Hall '-C 2 2'
loop_
_atom_site_label
_atom_site_type_symbol
_atom_site_fract_x
_atom_site_fract_y
_atom_site_fract_z
Zr1 Zr 0.250 0.250 0.000
Re1 Re 0.000 0.000 0.500
Te1 Te 0.000 0.500 0.500
```

Output
total magnetic moment	0.000	μB per formula unit
formation energy (no corrections)	-0.198	eV per atom
VASP energy	-8.370	eV per atom

=====

The following is a PBE-GGA calculation of a relaxed structure of Zr2ReTe, from Alexandria.

```
data_Zr2ReTe
_chemical_formula_sum 'Zr2 Re1 Te1'
_cell_length_a 3.373
_cell_length_b 3.373
_cell_length_c 7.317
_cell_angle_alpha 90.00
_cell_angle_beta 90.00
_cell_angle_gamma 90.00
_space_group_name_H-M_alt 'P 4 m m'
_space_group_IT_number 99
_space_group_name_Hall 'P 4 -2'
loop_
_atom_site_label
_atom_site_type_symbol
_atom_site_fract_x
_atom_site_fract_y
_atom_site_fract_z
Zr1 Zr 0.000 0.000 0.000
Zr2 Zr 0.500 0.500 0.292
Re1 Re 0.000 0.000 0.505
Te1 Te 0.500 0.500 0.726
```

Output
total magnetic moment	0.000	μB per formula unit
formation energy (no corrections)	0.069	eV per atom
VASP energy	-8.103	eV per atom

=====

The following is a PBE-GGA calculation of a relaxed structure of ZrReTe, from Alexandria.

```
data_ZrReTe
_chemical_formula_sum 'Zr1 Re1 Te1'
_cell_length_a 4.5821
_cell_length_b 4.5821
_cell_length_c 3.2517
_cell_angle_alpha 90.00
_cell_angle_beta 90.00
_cell_angle_gamma 120.00
_space_group_name_H-M_alt 'P 3 m 1'
_space_group_IT_number 156
_space_group_name_Hall 'P 3 -2"'
loop_
_atom_site_label
_atom_site_type_symbol
_atom_site_fract_x
_atom_site_fract_y
_atom_site_fract_z
Zr1 Zr 0.0000 0.0000 0.0000
Re1 Re 0.6667 0.3333 0.4499
Te1 Te 0.3333 0.6667 0.4751
```

Output
relative energy among the computed polymorphs	0.0000	eV per atom
total magnetic moment	0.000	μB per formula unit
formation energy (no corrections)	0.023	eV per atom
VASP energy	-8.023	eV per atom

=====

The following is a PBE-GGA calculation of a relaxed structure of Zr2ReTe, from Alexandria.

```
data_Zr2ReTe
_chemical_formula_sum 'Zr8 Re4 Te4'
_cell_length_a 6.288
_cell_length_b 6.288
_cell_length_c 12.499
_cell_angle_alpha 90.00
_cell_angle_beta 90.00
_cell_angle_gamma 90.00
_space_group_name_H-M_alt 'I -4 2 d'
_space_group_IT_number 122
_space_group_name_Hall 'I -4 2bw'
loop_
_atom_site_label
_atom_site_type_symbol
_atom_site_fract_x
_atom_site_fract_y
_atom_site_fract_z
Zr1 Zr 0.197 0.250 0.125
Re1 Re 0.000 0.000 0.000
Te1 Te 0.000 0.000 0.500
```

Output
total magnetic moment	0.000	μB per formula unit
formation energy (no corrections)	0.618	eV per atom
VASP energy	-7.554	eV per atom

=====

The following is a PBE-GGA calculation of a relaxed structure of ZrReTe, from Alexandria.

```
data_ZrReTe
_chemical_formula_sum 'Zr2 Re2 Te2'
_cell_length_a 3.290
_cell_length_b 3.290
_cell_length_c 11.050
_cell_angle_alpha 90.00
_cell_angle_beta 90.00
_cell_angle_gamma 90.00
_space_group_name_H-M_alt 'I 4 m m'
_space_group_IT_number 107
_space_group_name_Hall 'I 4 -2'
loop_
_atom_site_label
_atom_site_type_symbol
_atom_site_fract_x
_atom_site_fract_y
_atom_site_fract_z
Zr1 Zr 0.000 0.000 0.000
Re1 Re 0.000 0.000 0.345
Te1 Te 0.000 0.000 0.700
```

Output
relative energy among the computed polymorphs	0.1053	eV per atom
total magnetic moment	0.000	μB per formula unit
formation energy (no corrections)	0.128	eV per atom
VASP energy	-7.918	eV per atom

=====

The following is a PBE-GGA calculation of a relaxed structure of Zr2ReTe, from Alexandria.

```
data_Zr2ReTe
_chemical_formula_sum 'Zr4 Re2 Te2'
_cell_length_a 4.033
_cell_length_b 4.033
_cell_length_c 9.896
_cell_angle_alpha 90.00
_cell_angle_beta 90.00
_cell_angle_gamma 90.00
_space_group_name_H-M_alt 'I -4 m 2'
_space_group_IT_number 119
_space_group_name_Hall 'I -4 -2'
loop_
_atom_site_label
_atom_site_type_symbol
_atom_site_fract_x
_atom_site_fract_y
_atom_site_fract_z
Zr1 Zr 0.000 0.000 0.000
Zr2 Zr 0.000 0.500 0.250
Re1 Re 0.000 0.500 0.750
Te1 Te 0.000 0.000 0.500
```

Output
total magnetic moment	0.000	μB per formula unit
formation energy (no corrections)	-0.075	eV per atom
VASP energy	-8.247	eV per atom

=====

The following is a PBE-GGA calculation of a relaxed structure of ZrReTe, from Alexandria.

```
data_ZrReTe
_chemical_formula_sum 'Zr4 Re4 Te4'
_cell_length_a 6.404
_cell_length_b 6.404
_cell_length_c 6.404
_cell_angle_alpha 90.00
_cell_angle_beta 90.00
_cell_angle_gamma 90.00
_space_group_name_H-M_alt 'F -4 3 m'
_space_group_IT_number 216
_space_group_name_Hall 'F -4 2 3'
loop_
_atom_site_label
_atom_site_type_symbol
_atom_site_fract_x
_atom_site_fract_y
_atom_site_fract_z
Zr1 Zr 0.000 0.000 0.000
Re1 Re 0.250 0.250 0.750
Te1 Te 0.000 0.000 0.500
```

Output
relative energy among the computed polymorphs	0.0169	eV per atom
total magnetic moment	0.000	μB per formula unit
formation energy (no corrections)	0.039	eV per atom
VASP energy	-8.006	eV per atom

=====

The following is a PBE-GGA calculation of a relaxed structure of Zr3ReTe, from Alexandria.

```
data_Zr3ReTe
_chemical_formula_sum 'Zr3 Re1 Te1'
_cell_length_a 5.155
_cell_length_b 5.155
_cell_length_c 5.155
_cell_angle_alpha 90.00
_cell_angle_beta 90.00
_cell_angle_gamma 90.00
_space_group_name_H-M_alt 'P m -3 m'
_space_group_IT_number 221
_space_group_name_Hall '-P 4 2 3'
loop_
_atom_site_label
_atom_site_type_symbol
_atom_site_fract_x
_atom_site_fract_y
_atom_site_fract_z
Zr1 Zr 0.000 0.000 0.500
Re1 Re 0.500 0.500 0.500
Te1 Te 0.000 0.000 0.000
```

Output
relative energy among the computed polymorphs	0.9691	eV per atom
total magnetic moment	1.877	μB per formula unit
formation energy (no corrections)	1.291	eV per atom
VASP energy	-6.956	eV per atom

=====

The following is a PBE-GGA calculation of a relaxed structure of ZrReTe, from Alexandria.

```
data_ZrReTe
_chemical_formula_sum 'Zr4 Re4 Te4'
_cell_length_a 6.533
_cell_length_b 6.533
_cell_length_c 6.533
_cell_angle_alpha 90.00
_cell_angle_beta 90.00
_cell_angle_gamma 90.00
_space_group_name_H-M_alt 'F -4 3 m'
_space_group_IT_number 216
_space_group_name_Hall 'F -4 2 3'
loop_
_atom_site_label
_atom_site_type_symbol
_atom_site_fract_x
_atom_site_fract_y
_atom_site_fract_z
Zr1 Zr 0.000 0.000 0.000
Re1 Re 0.250 0.250 0.250
Te1 Te 0.250 0.250 0.750
```

Output
relative energy among the computed polymorphs	0.5632	eV per atom
total magnetic moment	0.000	μB per formula unit
formation energy (no corrections)	0.586	eV per atom
VASP energy	-7.460	eV per atom

=====

The following is a PBE-GGA calculation of a relaxed structure of Zr2ReTe, from Alexandria.

```
data_Zr2ReTe
_chemical_formula_sum 'Zr4 Re2 Te2'
_cell_length_a 4.048
_cell_length_b 4.775
_cell_length_c 8.364
_cell_angle_alpha 90.00
_cell_angle_beta 90.00
_cell_angle_gamma 90.00
_space_group_name_H-M_alt 'I m m m'
_space_group_IT_number 71
_space_group_name_Hall '-I 2 2'
loop_
_atom_site_label
_atom_site_type_symbol
_atom_site_fract_x
_atom_site_fract_y
_atom_site_fract_z
Zr1 Zr 0.000 0.000 0.233
Re1 Re 0.000 0.500 0.500
Te1 Te 0.000 0.500 0.000
```

Output
total magnetic moment	0.000	μB per formula unit
formation energy (no corrections)	-0.103	eV per atom
VASP energy	-8.274	eV per atom

=====

The following is a PBE-GGA calculation of a relaxed structure of Zr2ReTe, from Alexandria.

```
data_Zr2ReTe
_chemical_formula_sum 'Zr6 Re3 Te3'
_cell_length_a 3.5391
_cell_length_b 3.5391
_cell_length_c 24.3635
_cell_angle_alpha 90.00
_cell_angle_beta 90.00
_cell_angle_gamma 120.00
_space_group_name_H-M_alt 'R -3 m'
_space_group_IT_number 166
_space_group_name_Hall '-R 3 2"'
loop_
_atom_site_label
_atom_site_type_symbol
_atom_site_fract_x
_atom_site_fract_y
_atom_site_fract_z
Zr1 Zr 0.0000 0.0000 0.2432
Re1 Re 0.0000 0.0000 0.5000
Te1 Te 0.0000 0.0000 0.0000
```

Output
total magnetic moment	0.000	μB per formula unit
formation energy (no corrections)	-0.172	eV per atom
VASP energy	-8.344	eV per atom

=====

The following is a PBE-GGA calculation of a relaxed structure of Zr3ReTe, from Alexandria.

```
data_Zr3ReTe
_chemical_formula_sum 'Zr3 Re1 Te1'
_cell_length_a 5.095
_cell_length_b 5.095
_cell_length_c 5.095
_cell_angle_alpha 90.00
_cell_angle_beta 90.00
_cell_angle_gamma 90.00
_space_group_name_H-M_alt 'P m -3 m'
_space_group_IT_number 221
_space_group_name_Hall '-P 4 2 3'
loop_
_atom_site_label
_atom_site_type_symbol
_atom_site_fract_x
_atom_site_fract_y
_atom_site_fract_z
Zr1 Zr 0.000 0.000 0.500
Re1 Re 0.000 0.000 0.000
Te1 Te 0.500 0.500 0.500
```

Output
relative energy among the computed polymorphs	0.0000	eV per atom
total magnetic moment	0.000	μB per formula unit
formation energy (no corrections)	0.322	eV per atom
VASP energy	-7.925	eV per atom

=====

The following is a PBE-GGA calculation of a relaxed structure of ZrRe4Te, from Alexandria.

```
data_ZrRe4Te
_chemical_formula_sum 'Zr4 Re16 Te4'
_cell_length_a 7.537
_cell_length_b 7.537
_cell_length_c 7.537
_cell_angle_alpha 90.00
_cell_angle_beta 90.00
_cell_angle_gamma 90.00
_space_group_name_H-M_alt 'F -4 3 m'
_space_group_IT_number 216
_space_group_name_Hall 'F -4 2 3'
loop_
_atom_site_label
_atom_site_type_symbol
_atom_site_fract_x
_atom_site_fract_y
_atom_site_fract_z
Zr1 Zr 0.000 0.000 0.000
Re1 Re 0.125 0.125 0.625
Te1 Te 0.250 0.250 0.250
```

Output
total magnetic moment	0.000	μB per formula unit
formation energy (no corrections)	0.295	eV per atom
VASP energy	-9.952	eV per atom

=====

The following is a PBE-GGA calculation of a relaxed structure of Zr2ReTe, from Alexandria.

```
data_Zr2ReTe
_chemical_formula_sum 'Zr2 Re1 Te1'
_cell_length_a 3.550
_cell_length_b 4.459
_cell_length_c 5.583
_cell_angle_alpha 90.00
_cell_angle_beta 108.50
_cell_angle_gamma 90.00
_space_group_name_H-M_alt 'P 1 m 1'
_space_group_IT_number 6
_space_group_name_Hall 'P -2y'
loop_
_atom_site_label
_atom_site_type_symbol
_atom_site_fract_x
_atom_site_fract_y
_atom_site_fract_z
Zr1 Zr 0.000 0.000 0.000
Zr2 Zr 0.297 0.500 0.595
Re1 Re 0.542 0.500 0.090
Te1 Te 0.722 0.000 0.445
```

Output
total magnetic moment	0.000	μB per formula unit
formation energy (no corrections)	-0.264	eV per atom
VASP energy	-8.436	eV per atom

=====

The following is a PBE-GGA calculation of a relaxed structure of Zr2ReTe, from Alexandria.

```
data_Zr2ReTe
_chemical_formula_sum 'Zr2 Re1 Te1'
_cell_length_a 4.757
_cell_length_b 4.757
_cell_length_c 3.572
_cell_angle_alpha 90.00
_cell_angle_beta 90.00
_cell_angle_gamma 90.00
_space_group_name_H-M_alt 'P 4/m m m'
_space_group_IT_number 123
_space_group_name_Hall '-P 4 2'
loop_
_atom_site_label
_atom_site_type_symbol
_atom_site_fract_x
_atom_site_fract_y
_atom_site_fract_z
Zr1 Zr 0.000 0.500 0.000
Re1 Re 0.000 0.000 0.500
Te1 Te 0.500 0.500 0.500
```

Output
total magnetic moment	0.000	μB per formula unit
formation energy (no corrections)	-0.116	eV per atom
VASP energy	-8.287	eV per atom